LaPrAs2Pd2: optimized geometry, PBE-GGA.

Calculated values
Symmetry: No. 164
D(E_F): 0.2040 states/eV/atom
Energy relative to the elements: -7.3 eV per formula unit

Cell and atoms, written as CIF:
```
data_LaPrAs2Pd2
_cell_length_a 4.4110
_cell_length_b 4.4110
_cell_length_c 7.9676
_cell_angle_alpha 90.00
_cell_angle_beta 90.00
_cell_angle_gamma 120.00
_space_group_name_H-M_alt 'P 1'
_space_group_IT_number 1
loop_
_space_group_symop_operation_xyz
'x,y,z'
loop_
_atom_site_label
_atom_site_fract_x
_atom_site_fract_y
_atom_site_fract_z
La1 0.0000 0.0000 0.0000
Pr1 0.0000 0.0000 0.5000
As1 0.3333 0.6667 0.2504
As2 0.6667 0.3333 0.7496
Pd1 0.3333 0.6667 0.7454
Pd2 0.6667 0.3333 0.2546
```